The following is a GGA-PBE calculation of a relaxed PrNdTlZn crystal, from Alexandria.

Structure (extended XYZ):
```
4
Lattice="-0.996 5.322 0.176 -4.419 1.846 2.533 0.484 2.693 4.676" Properties=species:S:1:pos:R:3 pbc="T T T"
Pr -3.698 7.396 5.539
Tl -2.465 4.931 3.692
Nd -1.233 2.465 1.846
Zn 0.000 0.000 0.000
```

Output
Excess energy over the best structure of this formula in the dataset   20 meV/atom
Energy   -3.63 eV/atom
Formation energy   -0.328 eV per atom